[1]
La3RhAu (GGA-PBE, relaxed); relative energy among the computed polymorphs = 0.3329 eV/atom; calculated volume = 33.30 Å³/atom; E_form = -337 meV per atom; space group = No. 221
1.0
5.501 0.000 0.000
0.000 5.501 0.000
0.000 0.000 5.501
La Rh Au
3 1 1
Cartesian
0.000 0.000 2.751 La
0.000 2.751 0.000 La
2.751 0.000 0.000 La
0.000 0.000 0.000 Rh
2.751 2.751 2.751 Au

---

[2]
LaRhAu2 (GGA-PBE, relaxed); calculated volume = 21.31 Å³/atom; E_form = -452 meV per atom; space group = No. 47
1.0
3.788 0.000 0.000
0.000 4.063 0.000
0.000 0.000 5.538
La Rh Au
1 1 2
Cartesian
0.000 0.000 0.000 La
0.000 0.000 2.769 Rh
1.894 2.031 1.435 Au
1.894 2.031 4.103 Au

---

[3]
LaRh2Au2 (GGA-PBE, relaxed); relative energy among the computed polymorphs = 0.0749 eV/atom; calculated volume = 20.60 Å³/atom; E_form = -263 meV per atom; space group = No. 139
1.0
-2.004 2.004 6.411
2.004 -2.004 6.411
2.004 2.004 -6.411
La Rh Au
1 2 2
Cartesian
0.000 0.000 0.000 La
2.004 0.000 3.206 Rh
0.000 2.004 3.206 Rh
0.000 0.000 5.064 Au
0.000 0.000 7.759 Au

---

[4]
LaRhAu2 (GGA-PBE, relaxed); calculated volume = 20.48 Å³/atom; E_form = -532 meV per atom; space group = No. 119
1.0
-2.185 2.185 4.287
2.185 -2.185 4.287
2.185 2.185 -4.287
La Rh Au
1 1 2
Cartesian
0.000 0.000 0.000 La
0.000 2.185 2.144 Rh
2.185 0.000 2.144 Au
0.000 0.000 4.287 Au